(1)
SrBrN2Cl: single point on PBEsol structure, meta-GGA SCAN. Values from VASP.

Structure (Quantum ESPRESSO input):
```
&SYSTEM
  ibrav = 0, nat = 5, ntyp = 4
/
ATOMIC_SPECIES
Sr 87.62 Sr.upf
Br 79.90 Br.upf
N 14.01 N.upf
Cl 35.45 Cl.upf
ATOMIC_POSITIONS angstrom
Sr 0.000 0.000 0.000
Br 2.068 2.068 0.000
N 0.000 2.068 2.990
N 2.068 0.000 2.990
Cl 2.068 2.068 2.990
CELL_PARAMETERS angstrom
4.137 0.000 0.000
0.000 4.137 0.000
0.000 0.000 5.981
```

**Formation energy (no corrections)**: 0.9255 eV/atom
**Calculated density**: 3.75 g/cm3

(2)
Sr4BrN2Cl: single point on PBEsol structure, meta-GGA SCAN. Values from VASP.

Structure (Quantum ESPRESSO input):
```
&SYSTEM
  ibrav = 0, nat = 8, ntyp = 4
/
ATOMIC_SPECIES
Sr 87.62 Sr.upf
Br 79.90 Br.upf
N 14.01 N.upf
Cl 35.45 Cl.upf
ATOMIC_POSITIONS angstrom
Sr 1.105 0.000 1.324
Sr -0.016 1.937 5.793
Sr 4.488 1.937 1.341
Sr 3.367 0.000 5.809
Br 2.236 1.937 3.567
N 0.000 1.937 0.000
N 3.356 0.000 0.000
Cl -1.120 0.000 3.567
CELL_PARAMETERS angstrom
6.711 0.000 0.000
0.000 3.874 0.000
-2.239 0.000 7.133
```

**Formation energy (no corrections)**: -1.5856 eV/atom
**Calculated density**: 4.42 g/cm3
**Excess energy over the best structure of this formula in the dataset**: 4 meV/atom

(3)
Na3BrCl: single point on PBEsol structure, meta-GGA SCAN. Values from VASP.

Structure (Quantum ESPRESSO input):
```
&SYSTEM
  ibrav = 0, nat = 5, ntyp = 3
/
ATOMIC_SPECIES
Na 22.99 Na.upf
Br 79.90 Br.upf
Cl 35.45 Cl.upf
ATOMIC_POSITIONS angstrom
Na 0.000 0.000 2.681
Na 0.000 2.681 0.000
Na 2.681 0.000 0.000
Br 2.681 2.681 2.681
Cl 0.000 0.000 0.000
CELL_PARAMETERS angstrom
5.362 0.000 0.000
0.000 5.362 0.000
0.000 0.000 5.362
```

**Formation energy (no corrections)**: -1.1600 eV/atom
**Calculated density**: 1.99 g/cm3
**Excess energy over the best structure of this formula in the dataset**: 0 meV/atom